No. 1
A relaxed structure of Ga2BiSe, computed with PBE.

Unit cell a=7.794 b=7.794 c=7.794 alpha=132.42 beta=132.42 gamma=69.57
Fractional positions:
Ga (0.103, 0.625, 0.978)
Ga (0.375, 0.353, 0.478)
Ga (0.647, 0.125, 0.022)
Ga (0.875, 0.897, 0.522)
Bi (0.250, 0.750, 0.500)
Bi (0.500, 0.500, 0.000)
Se (0.000, 0.000, 0.000)
Se (0.750, 0.250, 0.500)

Calculated values
E ... -3.4660 eV/atom
Relative energy among the computed polymorphs ... 0 meV/atom
Formation energy (no corrections) ... -111 meV/atom
V ... 253.1 Å³/cell



No. 2
A relaxed structure of Ga2BiSe2, computed with PBE.

Unit cell a=8.171 b=8.171 c=3.826 alpha=90.00 beta=90.00 gamma=90.00
Fractional positions:
Ga (0.124, 0.376, 0.000)
Ga (0.376, 0.876, 0.000)
Ga (0.624, 0.124, 0.000)
Ga (0.876, 0.624, 0.000)
Bi (0.000, 0.000, 0.500)
Bi (0.500, 0.500, 0.500)
Se (0.194, 0.694, 0.500)
Se (0.306, 0.194, 0.500)
Se (0.694, 0.806, 0.500)
Se (0.806, 0.306, 0.500)

Calculated values
E ... -3.5021 eV/atom
Relative energy among the computed polymorphs ... 0 meV/atom
Formation energy (no corrections) ... -121 meV/atom
V ... 255.4 Å³/cell



No. 3
A relaxed structure of GaBiSe, computed with PBE.

Unit cell a=3.611 b=3.611 c=7.303 alpha=90.00 beta=90.00 gamma=120.00
Fractional positions:
Ga (0.000, 0.000, 0.000)
Bi (0.667, 0.333, 0.329)
Se (0.333, 0.667, 0.816)

Calculated values
E ... -3.6235 eV/atom
Relative energy among the computed polymorphs ... 167 meV/atom
Formation energy (no corrections) ... -159 meV/atom
V ... 82.4 Å³/cell



Number 1: ρ 5.6 Mg/m³, M_tot 0.00 μB per cell. Number 2: ρ 6.6 Mg/m³, M_tot 0.00 μB per cell. Number 3: ρ 7.2 Mg/m³, M_tot 0.00 μB per cell.